Arrangement P

Li2HN (PBE-GGA, optimized geometry); magnetic moment = 0.00 μB per atom; space group = Imma
1.0
-3.5433 3.5736 5.0716
3.5433 -3.5736 5.0716
3.5433 3.5736 -5.0716
Li H N
16 8 8
Direct
0.1077 0.3481 0.2261
0.1077 0.8816 0.7596
0.1269 0.8769 0.2500
0.3552 0.1052 0.2500
0.3667 0.6167 0.7500
0.3780 0.1184 0.7261
0.3780 0.6519 0.2596
0.5000 0.0000 0.0000
0.5000 0.5000 0.5000
0.6220 0.3481 0.7404
0.6220 0.8816 0.2739
0.6333 0.3833 0.2500
0.6448 0.8948 0.7500
0.8731 0.1231 0.7500
0.8923 0.1184 0.2404
0.8923 0.6519 0.7739
0.1145 0.6962 0.4182
0.1993 0.3086 0.6093
0.1993 0.5900 0.8907
0.2220 0.3038 0.9182
0.7780 0.6962 0.0818
0.8007 0.4100 0.1093
0.8007 0.6914 0.3907
0.8855 0.3038 0.5818
0.2580 0.2478 0.4898
0.2580 0.7682 0.0102
0.2727 0.2404 0.0323
0.2918 0.7596 0.5323
0.7082 0.2404 0.4677
0.7273 0.7596 0.9677
0.7420 0.2318 0.9898
0.7420 0.7522 0.5102

***

Arrangement Q

Li2HN (PBE-GGA, optimized geometry); magnetic moment = 0.17 μB per atom; space group = I-42d
1.0
5.3991 0.0000 0.0000
0.0000 5.3991 0.0000
0.0000 0.0000 4.2760
Li H N
8 4 4
Direct
0.2259 0.2500 0.1250
0.2500 0.7259 0.3750
0.2500 0.7741 0.8750
0.2741 0.2500 0.6250
0.7259 0.7500 0.6250
0.7500 0.2259 0.8750
0.7500 0.2741 0.3750
0.7741 0.7500 0.1250
0.0000 0.0000 0.0000
0.0000 0.5000 0.2500
0.5000 0.0000 0.7500
0.5000 0.5000 0.5000
0.0000 0.0000 0.5000
0.0000 0.5000 0.7500
0.5000 0.0000 0.2500
0.5000 0.5000 0.0000

***

Arrangement R

Li2HN (PBE-GGA, optimized geometry); magnetic moment = 0.00 μB per atom; space group = P4_2/m
1.0
4.9050 0.0000 0.0000
0.0000 4.9050 0.0000
0.0000 0.0000 5.3194
Li H N
8 4 4
Direct
0.0000 0.0000 0.2500
0.0000 0.0000 0.7500
0.0000 0.5000 0.2129
0.0000 0.5000 0.7871
0.5000 0.0000 0.2871
0.5000 0.0000 0.7129
0.5000 0.5000 0.2500
0.5000 0.5000 0.7500
0.0406 0.7245 0.5000
0.2755 0.0406 0.0000
0.7245 0.9594 0.0000
0.9594 0.2755 0.5000
0.2465 0.2503 0.0000
0.2503 0.7535 0.5000
0.7497 0.2465 0.5000
0.7535 0.7497 0.0000

***

Stability, highest: arrangement P

***

Arrangement P

Li3HN (PBE-GGA, optimized geometry); magnetic moment = 0.15 μB per atom; space group = Pm-3m
1.0
3.8281 0.0000 0.0000
0.0000 3.8281 0.0000
0.0000 0.0000 3.8281
Li H N
3 1 1
Direct
0.0000 0.0000 0.5000
0.0000 0.5000 0.0000
0.5000 0.0000 0.0000
0.5000 0.5000 0.5000
0.0000 0.0000 0.0000

***

Arrangement Q

Li3HN (PBE-GGA, optimized geometry); magnetic moment = 0.17 μB per atom; space group = R3c
1.0
2.9299 1.6916 4.1437
-2.9299 1.6916 4.1437
0.0000 -3.3832 4.1437
Li H N
6 2 2
Direct
0.0951 0.2729 0.6320
0.1320 0.7729 0.5951
0.2729 0.6320 0.0951
0.5951 0.1320 0.7729
0.6320 0.0951 0.2729
0.7729 0.5951 0.1320
0.0176 0.0176 0.0176
0.5176 0.5176 0.5176
0.4331 0.4331 0.4331
0.9331 0.9331 0.9331

***

Stability, highest: arrangement Q

***

Arrangement P

LiH3N (PBE-GGA, optimized geometry); magnetic moment = 0.00 μB per atom; space group = R3m
1.0
3.6019 0.0000 0.0000
-1.8009 3.1193 0.0000
0.0000 0.0000 16.3606
Li H N
3 9 3
Direct
0.0000 0.0000 0.0000
0.3333 0.6667 0.6667
0.6667 0.3333 0.3333
0.1866 0.3733 0.8443
0.1866 0.8134 0.8443
0.2934 0.1467 0.1776
0.5200 0.0399 0.5110
0.5200 0.4800 0.5110
0.6267 0.8134 0.8443
0.8533 0.1467 0.1776
0.8533 0.7066 0.1776
0.9601 0.4800 0.5110
0.0000 0.0000 0.2071
0.3333 0.6667 0.8738
0.6667 0.3333 0.5405

***

Arrangement Q

LiH3N (PBE-GGA, optimized geometry); magnetic moment = 0.00 μB per atom; space group = P1
1.0
3.8137 0.0000 0.0000
1.8859 5.1811 0.0000
0.7715 2.5894 6.4021
Li H N
2 6 2
Direct
0.0000 0.0000 0.0000
0.2589 0.4884 0.9948
0.0605 0.9503 0.6142
0.0918 0.5622 0.3801
0.3345 0.0452 0.7162
0.3650 0.7532 0.2830
0.4789 0.7341 0.7044
0.4995 0.4336 0.2886
0.2466 0.8784 0.7363
0.2685 0.6123 0.2589

***

Arrangement R

LiH3N (PBE-GGA, optimized geometry); magnetic moment = 0.00 μB per atom; space group = Pm-3m
1.0
3.0962 0.0000 0.0000
0.0000 3.0962 0.0000
0.0000 0.0000 3.0962
Li H N
1 3 1
Direct
0.0000 0.0000 0.0000
0.0000 0.0000 0.5000
0.0000 0.5000 0.0000
0.5000 0.0000 0.0000
0.5000 0.5000 0.5000

***

Stability, highest: arrangement Q